1.
Density functional theory data (PBE) for a geometry-optimized TaGeTePt structure.

Summary:
- ΔE_f (raw): -0.0780 eV/atom
- Space group: No. 6
- Excess energy over the best structure of this formula in the dataset: 0.1559 eV/atom
- Crystal system: monoclinic

a b c (Å): 2.9262 4.1674 7.2860
angles (deg): 90.00 101.19 90.00
Fractional positions:
Ta  0.0000  0.0000  0.0000
Ge  0.6765  0.0000  0.3633
Te  0.3853  0.5000  0.7478
Pt  0.5753  0.5000  0.1536

2.
Density functional theory data (PBE) for a geometry-optimized PdCl3 structure.

Summary:
- ΔE_f (raw): -0.1080 eV/atom
- Space group: No. 122
- Crystal system: tetragonal

a b c (Å): 6.7814 6.7814 6.7814
angles (deg): 97.66 97.66 137.16
Fractional positions:
Pd  0.0000  0.0000  0.0000
Pd  0.7500  0.2500  0.5000
Cl  0.2500  0.7500  0.5000
Cl  0.3750  0.2150  0.3400
Cl  0.5000  0.5000  0.0000
Cl  0.7850  0.1250  0.1600
Cl  0.8750  0.0350  0.6600
Cl  0.9650  0.6250  0.8400

3.
Density functional theory data (PBE) for a geometry-optimized PuNp2TiP4 structure.

Summary:
- Energy relative to the elements: -733 kJ/mol of formula units
- Space group: No. 10
- Crystal system: monoclinic

a b c (Å): 6.6331 3.8596 6.6777
angles (deg): 90.00 109.31 90.00
Fractional positions:
Pu  0.0000  0.0000  0.0000
Np  0.0000  0.5000  0.5000
Np  0.5000  0.0000  0.5000
Ti  0.5000  0.5000  0.0000
P  0.2609  0.5000  0.2399
P  0.2681  0.0000  0.7684
P  0.7319  0.0000  0.2316
P  0.7391  0.5000  0.7601

4.
Density functional theory data (PBE) for a geometry-optimized PrScPtAu structure.

Summary:
- Energy relative to the elements: -330 kJ/mol of formula units
- Space group: No. 216
- Crystal system: cubic

a b c (Å): 5.0081 5.0081 5.0081
angles (deg): 60.00 60.00 60.00
Fractional positions:
Pr  0.0000  0.0000  0.0000
Sc  0.5000  0.5000  0.5000
Pt  0.2500  0.2500  0.2500
Au  0.7500  0.7500  0.7500

5.
Density functional theory data (PBE) for a geometry-optimized LiY5Cd4 structure.

Summary:
- Energy relative to the elements: -251 kJ/mol of formula units
- Space group: No. 123
- Crystal system: tetragonal

a b c (Å): 3.7471 3.7471 18.7384
angles (deg): 90.00 90.00 90.00
Fractional positions:
Li  0.0000  0.0000  0.0000
Y  0.5000  0.5000  0.1003
Y  0.5000  0.5000  0.2994
Y  0.5000  0.5000  0.5000
Y  0.5000  0.5000  0.7006
Y  0.5000  0.5000  0.8997
Cd  0.0000  0.0000  0.1981
Cd  0.0000  0.0000  0.3994
Cd  0.0000  0.0000  0.6006
Cd  0.0000  0.0000  0.8019

6.
Density functional theory data (PBE) for a geometry-optimized Na4LaPd3O8 structure.

Summary:
- ΔE_f (raw): -1.2624 eV/atom
- Space group: No. 12
- Crystal system: monoclinic

a b c (Å): 7.0104 7.0104 6.4263
angles (deg): 116.00 116.00 53.15
Fractional positions:
Na  0.0000  0.0000  0.0000
Na  0.0000  0.5000  0.5000
Na  0.5000  0.0000  0.5000
Na  0.5000  0.5000  0.0000
La  0.0000  0.0000  0.5000
Pd  0.0000  0.5000  0.0000
Pd  0.5000  0.0000  0.0000
Pd  0.5000  0.5000  0.5000
O  0.2308  0.2308  0.7844
O  0.2363  0.6872  0.6910
O  0.3110  0.3110  0.2500
O  0.3128  0.7637  0.3090
O  0.6872  0.2363  0.6910
O  0.6890  0.6890  0.7500
O  0.7637  0.3128  0.3090
O  0.7692  0.7692  0.2156

7.
Density functional theory data (PBE) for a geometry-optimized PuPtPb2O8 structure.

Summary:
- ΔE_f (raw): -1.2889 eV/atom
- Space group: No. 10
- Crystal system: monoclinic

a b c (Å): 5.1512 6.5938 5.1710
angles (deg): 90.00 91.23 90.00
Fractional positions:
Pu  0.0000  0.0000  0.0000
Pt  0.0000  0.5000  0.0000
Pb  0.5000  0.2584  0.5000
Pb  0.5000  0.7416  0.5000
O  0.1774  0.2534  0.8260
O  0.1774  0.7466  0.8260
O  0.2841  0.5000  0.2871
O  0.3023  0.0000  0.3060
O  0.6977  0.0000  0.6940
O  0.7159  0.5000  0.7129
O  0.8226  0.2534  0.1740
O  0.8226  0.7466  0.1740

8.
Density functional theory data (PBE) for a geometry-optimized LaYPdAu structure.

Summary:
- Energy relative to the elements: -327 kJ/mol of formula units
- Space group: No. 38
- Excess energy over the best structure of this formula in the dataset: 0.0000 eV/atom
- Crystal system: orthorhombic

a b c (Å): 4.8279 5.7303 5.7303
angles (deg): 39.54 90.00 90.00
Fractional positions:
La  0.0000  0.0000  0.0000
Y  0.5000  0.7251  0.7251
Pd  0.0000  0.2730  0.2730
Au  0.5000  0.4433  0.4433

9.
Density functional theory data (PBE) for a geometry-optimized La3Re2 structure.

Summary:
- Energy relative to the elements: 219 kJ/mol of formula units
- Space group: No. 164
- Excess energy over the best structure of this formula in the dataset: 0.3014 eV/atom
- Crystal system: trigonal

a b c (Å): 5.0969 5.0969 5.8640
angles (deg): 90.00 90.00 120.00
Fractional positions:
La  0.0000  0.0000  0.0000
La  0.3333  0.6667  0.3718
La  0.6667  0.3333  0.6282
Re  0.3333  0.6667  0.9084
Re  0.6667  0.3333  0.0916

10.
Density functional theory data (PBE) for a geometry-optimized Cd3CuC structure.

Summary:
- Energy relative to the elements: 711 kJ/mol of formula units
- Space group: No. 221
- Excess energy over the best structure of this formula in the dataset: 0.5955 eV/atom
- Crystal system: cubic

a b c (Å): 4.9771 4.9771 4.9771
angles (deg): 90.00 90.00 90.00
Fractional positions:
Cd  0.0000  0.0000  0.5000
Cd  0.0000  0.5000  0.0000
Cd  0.5000  0.0000  0.0000
Cu  0.0000  0.0000  0.0000
C  0.5000  0.5000  0.5000

11.
Density functional theory data (PBE) for a geometry-optimized Na3LiNi2H8 structure.

Summary:
- Space group: No. 164
- Crystal system: trigonal

a b c (Å): 4.9439 4.9439 6.5639
angles (deg): 90.00 90.00 120.00
Fractional positions:
Na  0.0000  0.0000  0.0000
Na  0.3333  0.6667  0.6416
Na  0.6667  0.3333  0.3584
Li  0.0000  0.0000  0.5000
Ni  0.3333  0.6667  0.1941
Ni  0.6667  0.3333  0.8059
H  0.1731  0.3462  0.3145
H  0.1731  0.8269  0.3145
H  0.3333  0.6667  0.9585
H  0.3462  0.1731  0.6855
H  0.6538  0.8269  0.3145
H  0.6667  0.3333  0.0415
H  0.8269  0.1731  0.6855
H  0.8269  0.6538  0.6855

12.
Density functional theory data (PBE) for a geometry-optimized Ca2SmAg6 structure.

Summary:
- Energy relative to the elements: -225 kJ/mol of formula units
- Space group: No. 191
- Crystal system: hexagonal

a b c (Å): 8.2772 8.2772 3.5952
angles (deg): 90.00 90.00 120.00
Fractional positions:
Ca  0.3333  0.6667  0.0000
Ca  0.6667  0.3333  0.0000
Sm  0.0000  0.0000  0.0000
Ag  0.0000  0.3333  0.5000
Ag  0.0000  0.6667  0.5000
Ag  0.3333  0.0000  0.5000
Ag  0.3333  0.3333  0.5000
Ag  0.6667  0.0000  0.5000
Ag  0.6667  0.6667  0.5000

Let's list mass density in order: 10.98; 3.58; 9.16; 10.80; 5.69; 5.11; 9.28; 8.74; 9.93; 5.56; 2.41; 6.83 g/cm3.
Let's list total DFT energy (no corrections) in order: -6.4911; -2.7912; -9.6679; -5.9627; -4.0497; -5.3529; -6.9102; -5.8138; -7.4816; -1.7383; -3.1467; -3.1287 eV per atom.